A relaxed structure of LiFe2F9. Source: Alexandria via LeMat-Bulk, functional PBE+U.

- Distance to the lowest polymorph of the same formula: 45 meV per atom

Unit cell a=12.8755 b=7.9898 c=8.4917 alpha=90.00 beta=126.90 gamma=90.00
Space group Cc (No. 9)
Asymmetric unit:
Li  0.0000  0.1140  0.0000 [4 per cell]
Fe  0.2216  0.3255  0.4689 [4 per cell]
Fe  0.3343  0.2687  0.9852 [4 per cell]
F  0.0788  0.4015  0.4235 [4 per cell]
F  0.1459  0.1860  0.2562 [4 per cell]
F  0.1944  0.1743  0.9399 [4 per cell]
F  0.2285  0.4739  0.8528 [4 per cell]
F  0.2578  0.2139  0.6884 [4 per cell]
F  0.3841  0.2842  0.5552 [4 per cell]
F  0.3858  0.3679  0.2221 [4 per cell]
F  0.4192  0.0773  0.0617 [4 per cell]
F  0.4634  0.3747  0.9985 [4 per cell]